Entry from Alexandria via LeMat-Bulk: a relaxed structure of Li4Mg5In2 (PBE-GGA).

Cell lengths 3.126, 7.641, 11.999 Å; angles 124.53, 95.93, 81.55 degrees
Fractional coordinates of all 11 atoms:
Li  0.491  0.381  0.566
Li  0.646  0.282  0.909
Li  0.509  0.619  0.434
Li  0.354  0.718  0.091
Mg  0.254  0.086  0.635
Mg  0.746  0.914  0.365
Mg  0.958  0.806  0.713
Mg  0.500  0.000  0.000
Mg  0.042  0.194  0.287
In  0.931  0.545  0.828
In  0.069  0.455  0.172

Calculated values
N(E_F) = 3.39 states/eV/f.u.
SG = P-1, No. 2
ΔE to the lowest computed polymorph = 0 meV per atom
ΔE_f = -114 meV per atom

---

Entry from Alexandria via LeMat-Bulk: a relaxed structure of LiMg2In2 (PBE-GGA).

Cell lengths 4.424, 4.424, 8.403 Å; angles 90.00, 90.00, 120.00 degrees
Fractional coordinates of all 5 atoms:
Li  0.000  0.000  0.000
Mg  0.667  0.333  0.865
Mg  0.333  0.667  0.135
In  0.000  0.000  0.668
In  0.000  0.000  0.332

Calculated values
N(E_F) = 1.48 states/eV/f.u.
SG = P-3m1, No. 164
ΔE to the lowest computed polymorph = 283 meV per atom
ΔE_f = 214 meV per atom

---

| no. | VASP energy (eV per atom) |
| --- | --- |
| 1 | -2.0328 |
| 2 | -1.9015 |